Entry from Alexandria via LeMat-Bulk: LaMoP after structural relaxation (PBE).

Calculated values
- energy (eV per atom) = -7.55
- calculated density (Mg/m³) = 6.7
- E above lowest polymorph (meV per atom) = 253.3
- formation enthalpy at 0 K (meV per atom) = -492
- space group = No. 187

Structure (POSCAR):
```
LaMoP
1.0
4.160 0.000 0.000
-2.080 3.603 0.000
0.000 0.000 4.406
La Mo P
1 1 1
Direct
0.000 0.000 0.000
0.667 0.333 0.500
0.333 0.667 0.500
```

Entry from Alexandria via LeMat-Bulk: CeLuMgRe after structural relaxation (PBE).

Calculated values
- energy (eV per atom) = -6.04
- calculated density (Mg/m³) = 9.9
- formation enthalpy at 0 K (meV per atom) = 82
- space group = No. 216

Structure (POSCAR):
```
CeLuMgRe
1.0
0.000 3.535 3.535
3.535 0.000 3.535
3.535 3.535 0.000
Ce Lu Mg Re
1 1 1 1
Direct
0.000 0.000 0.000
0.500 0.500 0.500
0.250 0.250 0.250
0.750 0.750 0.750
```

Entry from Alexandria via LeMat-Bulk: LiPIrS2 after structural relaxation (PBE).

Calculated values
- energy (eV per atom) = -4.65
- calculated density (Mg/m³) = 4.5
- formation energy from raw total energies (meV per atom) = 243
- E above lowest polymorph (meV per atom) = 0.0
- space group = No. 123

Structure (POSCAR):
```
LiPIrS2
1.0
4.950 0.000 0.000
0.000 4.950 0.000
0.000 0.000 4.384
Li P Ir S
1 1 1 2
Direct
0.000 0.000 0.000
0.500 0.500 0.000
0.500 0.500 0.500
0.000 0.500 0.500
0.500 0.000 0.500
```